Below is BaTcRh after structural relaxation, with properties calculated at the PBE-GGA level.

Output
ΔE_f: 208 meV/atom
total magnetization: 0.00 μB per cell
calculated volume: 24.946 Å³/atom
polymorph energy (0 for the lowest one): 150.2 meV/atom
density of states at the Fermi level: 2.008 states/eV/cell

Cell: 5.1306 4.3208 6.8113 Å, 90.00 97.58 90.00°
Atoms (fractional coordinates):
Rh (0.5995, 0.3348, 0.8910)
Rh (0.7895, 0.8348, 0.6741)
Tc (0.3050, 0.8348, 0.7611)
Tc (0.0842, 0.3349, 0.8031)
Ba (0.9256, 0.8350, 0.1549)
Ba (0.4648, 0.3350, 0.4097)